1.
Material: Sr2La
Method: DFT, GGA-PBE
State: optimized geometry

abc: 10.948 10.948 6.619
angles: 90.00 90.00 159.25
Site moments in Bohr magnetons follow the coordinates.
Fractional coordinates of all 6 atoms:
1 Sr 0.948 0.052 0.750  0.03
2 Sr 0.280 0.720 0.750  0.02
3 Sr 0.720 0.280 0.250  0.02
4 Sr 0.052 0.948 0.250  0.03
5 La 0.613 0.387 0.750  0.12
6 La 0.387 0.613 0.250  0.12

Properties
**Energy**: -2.60 eV per atom
**Space group**: No. 63
**Polymorph energy (0 for the lowest one)**: 65 meV per atom

***

2.
Material: SrLa2
Method: DFT, GGA-PBE
State: optimized geometry

abc: 7.181 7.181 7.181
angles: 60.00 60.00 60.00
Fractional coordinates of all 6 atoms:
1 Sr 0.500 0.500 0.500
2 Sr 0.750 0.750 0.750
3 La 0.625 0.125 0.125
4 La 0.125 0.625 0.125
5 La 0.125 0.125 0.625
6 La 0.125 0.125 0.125

Properties
**Energy**: -3.67 eV per atom
**Space group**: No. 227
**Polymorph energy (0 for the lowest one)**: 110 meV per atom

***

3.
Material: Sr2La
Method: DFT, GGA-PBE
State: optimized geometry

abc: 6.832 6.832 6.832
angles: 148.23 119.79 69.69
Site moments in Bohr magnetons follow the coordinates.
Fractional coordinates of all 3 atoms:
1 Sr 0.322 0.822 0.500  0.02
2 Sr 0.678 0.178 0.500  0.02
3 La 0.000 0.000 0.000  0.20

Properties
**Energy**: -2.50 eV per atom
**Space group**: No. 71
**Polymorph energy (0 for the lowest one)**: 162 meV per atom

***

4.
Material: SrLa2
Method: DFT, GGA-PBE
State: optimized geometry

abc: 3.875 3.875 9.655
angles: 90.00 90.00 120.00
Fractional coordinates of all 3 atoms:
1 Sr 0.000 0.000 0.000
2 La 0.667 0.333 0.648
3 La 0.333 0.667 0.352

Properties
**Energy**: -3.76 eV per atom
**Space group**: No. 164
**Polymorph energy (0 for the lowest one)**: 13 meV per atom

***

5.
Material: Sr6La7
Method: DFT, GGA-PBE
State: optimized geometry

abc: 13.808 13.808 13.808
angles: 30.18 30.18 30.18
Fractional coordinates of all 13 atoms:
1 Sr 0.952 0.952 0.952
2 Sr 0.048 0.048 0.048
3 Sr 0.851 0.851 0.851
4 Sr 0.149 0.149 0.149
5 Sr 0.666 0.666 0.666
6 Sr 0.334 0.334 0.334
7 La 0.906 0.410 0.410
8 La 0.410 0.410 0.906
9 La 0.410 0.906 0.410
10 La 0.094 0.590 0.590
11 La 0.590 0.094 0.590
12 La 0.590 0.590 0.094
13 La 0.500 0.500 0.500

Properties
**Energy**: -3.28 eV per atom
**Space group**: No. 166

***

6.
Material: Sr5La4
Method: DFT, GGA-PBE
State: optimized geometry

abc: 9.010 9.010 9.010
angles: 95.42 95.42 144.19
Fractional coordinates of all 9 atoms:
1 Sr 0.000 0.000 0.000
2 Sr 0.669 0.331 0.000
3 Sr 0.331 0.669 0.000
4 Sr 0.331 0.331 0.661
5 Sr 0.669 0.669 0.339
6 La 0.645 0.000 0.645
7 La 0.355 0.000 0.355
8 La 0.000 0.355 0.355
9 La 0.000 0.645 0.645

Properties
**Energy**: -3.03 eV per atom
**Space group**: No. 139
**Polymorph energy (0 for the lowest one)**: 0 meV per atom

***

7.
Material: Sr2La
Method: DFT, GGA-PBE
State: optimized geometry

abc: 11.078 11.078 6.469
angles: 90.00 90.00 159.17
Fractional coordinates of all 6 atoms:
1 Sr 0.120 0.880 0.750
2 Sr 0.442 0.558 0.750
3 Sr 0.558 0.442 0.250
4 Sr 0.880 0.120 0.250
5 La 0.775 0.225 0.750
6 La 0.225 0.775 0.250

Properties
**Energy**: -2.66 eV per atom
**Space group**: No. 63
**Polymorph energy (0 for the lowest one)**: 3 meV per atom

***

8.
Material: Sr3La2
Method: DFT, GGA-PBE
State: optimized geometry

abc: 6.239 6.239 7.743
angles: 90.00 90.00 120.00
Fractional coordinates of all 5 atoms:
1 Sr 0.000 0.000 0.000
2 Sr 0.667 0.333 0.633
3 Sr 0.333 0.667 0.367
4 La 0.667 0.333 0.099
5 La 0.333 0.667 0.901

Properties
**Energy**: -2.64 eV per atom
**Space group**: No. 164
**Polymorph energy (0 for the lowest one)**: 141 meV per atom

***

Please write out number 2 again, unchanged.
Material: SrLa2
Method: DFT, GGA-PBE
State: optimized geometry

abc: 7.181 7.181 7.181
angles: 60.00 60.00 60.00
Fractional coordinates of all 6 atoms:
1 Sr 0.500 0.500 0.500
2 Sr 0.750 0.750 0.750
3 La 0.625 0.125 0.125
4 La 0.125 0.625 0.125
5 La 0.125 0.125 0.625
6 La 0.125 0.125 0.125

Properties
**Energy**: -3.67 eV per atom
**Space group**: No. 227
**Polymorph energy (0 for the lowest one)**: 110 meV per atom

***

Please write out number 4 again, unchanged.
Material: SrLa2
Method: DFT, GGA-PBE
State: optimized geometry

abc: 3.875 3.875 9.655
angles: 90.00 90.00 120.00
Fractional coordinates of all 3 atoms:
1 Sr 0.000 0.000 0.000
2 La 0.667 0.333 0.648
3 La 0.333 0.667 0.352

Properties
**Energy**: -3.76 eV per atom
**Space group**: No. 164
**Polymorph energy (0 for the lowest one)**: 13 meV per atom